The following is a PBE-GGA calculation of GdDyAsO after structural relaxation, from OQMD via LeMat-Bulk.

Values from the calculation:
* total moment: 0.01 μB per cell
* E: -6.6714 eV per atom
* crystal system: orthorhombic

Lattice parameters (Å, degrees): 4.1572 7.7239 5.8601 90.00 90.00 90.00
Closest atoms and distances in Å follow each position.
Atoms (fractional coordinates):
Gd 0.0000 0.1146 0.0000  2 O 2.27-2.34
Gd 0.0000 0.8854 0.5000  2 O 2.27-2.34
Dy 0.5000 0.2907 0.4346  2 O 2.29
Dy 0.5000 0.7093 0.9346  2 O 2.29
As 0.5000 0.3451 0.9264  2 Gd 2.77, 3 Dy 2.81-3.01
As 0.5000 0.6549 0.4264  2 Gd 2.77, 3 Dy 2.81-3.01
O 0.0000 0.1746 0.3796  2 Gd 2.27-2.34, 2 Dy 2.29
O 0.0000 0.8254 0.8796  2 Gd 2.27-2.34, 2 Dy 2.29


The following is a PBE-GGA calculation of SrCdBi after structural relaxation, from OQMD via LeMat-Bulk.

Values from the calculation:
* E: -2.4322 eV per atom
* crystal system: cubic

Lattice parameters (Å, degrees): 5.4104 5.4104 5.4104 60.00 60.00 60.00
Closest atoms and distances in Å follow each position.
Atoms (fractional coordinates):
Sr 0.0000 0.0000 0.0000  4 Cd 3.31, 4 Bi 3.31
Cd 0.2500 0.2500 0.2500  4 Sr 3.31
Bi 0.7500 0.7500 0.7500  4 Sr 3.31